Model P:
Density functional theory data (PBE) for an optimized crystal structure of NdScCo.

Properties
The density comes out at 6.1 g cm⁻³. The value obtained for the density of states at the Fermi level is 5.13 states/eV per cell.

Cell: 3.301 3.301 12.315 Å, 90.00 90.00 90.00°
Space group I4mm (No. 107)
Inequivalent atoms, fractional coordinates:
Nd 0.000 0.000 0.000 (multiplicity 2)
Sc 0.000 0.000 0.261 (multiplicity 2)
Co 0.000 0.000 0.653 (multiplicity 2)


Model Q:
Density functional theory data (PBE) for an optimized crystal structure of NdScCo.

Properties
The density comes out at 5.5 g cm⁻³. The value obtained for the density of states at the Fermi level is 3.21 states/eV per cell.

Cell: 3.8576 3.8576 5.7763 Å, 90.00 90.00 120.00°
Space group P3m1 (No. 156)
Inequivalent atoms, fractional coordinates:
Nd 0.0000 0.0000 0.0000 (multiplicity 1)
Sc 0.6667 0.3333 0.4788 (multiplicity 1)
Co 0.3333 0.6667 0.2787 (multiplicity 1)


It is model P that is most stable; the runner-up trails by 87 meV/atom.


Model P:
Density functional theory data (PBE) for an optimized crystal structure of NdScCo2.

Properties
The density comes out at 7.1 g cm⁻³. The value obtained for the density of states at the Fermi level is 3.55 states/eV per cell.

Cell: 6.601 6.601 6.601 Å, 90.00 90.00 90.00°
Space group Fm-3m (No. 225)
Inequivalent atoms, fractional coordinates:
Nd 0.000 0.000 0.000 (multiplicity 4)
Sc 0.000 0.000 0.500 (multiplicity 4)
Co 0.250 0.250 0.250 (multiplicity 8)


Model Q:
Density functional theory data (PBE) for an optimized crystal structure of NdScCo2.

Properties
The density comes out at 7.1 g cm⁻³. The value obtained for the density of states at the Fermi level is 3.20 states/eV per cell.

Cell: 3.297 3.297 6.615 Å, 90.00 90.00 90.00°
Space group P4/mmm (No. 123)
Inequivalent atoms, fractional coordinates:
Nd 0.000 0.000 0.000 (multiplicity 1)
Sc 0.000 0.000 0.500 (multiplicity 1)
Co 0.500 0.500 0.281 (multiplicity 2)


It is model Q that is most stable; the runner-up trails by 17 meV/atom.


Model P:
Density functional theory data (PBE) for an optimized crystal structure of NdSc3Co.

Properties
The density comes out at 4.8 g cm⁻³. The value obtained for the density of states at the Fermi level is 24.36 states/eV per cell.

Cell: 12.442 3.562 10.551 Å, 90.00 92.21 90.00°
Space group C2/m (No. 12)
Inequivalent atoms, fractional coordinates:
Nd 0.151 0.000 0.085 (multiplicity 4)
Sc 0.060 0.000 0.375 (multiplicity 4)
Sc 0.078 0.500 0.818 (multiplicity 4)
Sc 0.224 0.000 0.630 (multiplicity 4)
Co 0.092 0.500 0.560 (multiplicity 4)


Model Q:
Density functional theory data (PBE) for an optimized crystal structure of NdSc3Co.

Properties
The density comes out at 4.6 g cm⁻³. The value obtained for the density of states at the Fermi level is 5.62 states/eV per cell.

Cell: 4.964 4.964 4.964 Å, 90.00 90.00 90.00°
Space group Pm-3m (No. 221)
Inequivalent atoms, fractional coordinates:
Nd 0.000 0.000 0.000 (multiplicity 1)
Sc 0.000 0.500 0.500 (multiplicity 3)
Co 0.500 0.500 0.500 (multiplicity 1)


It is model P that is most stable; the runner-up trails by 18 meV/atom.


Model P:
Density functional theory data (PBE) for an optimized crystal structure of Nd3Co2Si4.

Properties
The density comes out at 6.1 g cm⁻³. The value obtained for the density of states at the Fermi level is 16.98 states/eV per cell.

Cell: 11.171 3.948 8.223 Å, 90.00 98.73 90.00°
Space group C2/m (No. 12)
Inequivalent atoms, fractional coordinates:
Nd 0.000 0.000 0.000 (multiplicity 2)
Nd 0.165 0.500 0.659 (multiplicity 4)
Co 0.106 0.500 0.275 (multiplicity 4)
Si 0.055 0.000 0.380 (multiplicity 4)
Si 0.220 0.500 0.069 (multiplicity 4)


Model Q:
Density functional theory data (PBE) for an optimized crystal structure of Nd3Co2Si4.

Properties
The density comes out at 6.4 g cm⁻³. The value obtained for the density of states at the Fermi level is 9.86 states/eV per cell.

Cell: 11.193 4.051 8.030 Å, 90.00 108.08 90.00°
Space group C2/m (No. 12)
Inequivalent atoms, fractional coordinates:
Nd 0.000 0.000 0.000 (multiplicity 2)
Nd 0.108 0.500 0.687 (multiplicity 4)
Co 0.199 0.500 0.364 (multiplicity 4)
Si 0.120 0.000 0.398 (multiplicity 4)
Si 0.221 0.500 0.080 (multiplicity 4)


It is model Q that is most stable; the runner-up trails by 25 meV/atom.